Record 1
# HoTmCdIn

A relaxed HoTmCdIn crystal (PBE, Alexandria via LeMat-Bulk).

Cell: 7.433 7.433 7.433 Å, 90.00 90.00 90.00°
Fractional positions:
Ho: 0.000 0.000 0.000
Ho: 0.000 0.500 0.500
Ho: 0.500 0.000 0.500
Ho: 0.500 0.500 0.000
Tm: 0.000 0.000 0.500
Tm: 0.000 0.500 0.000
Tm: 0.500 0.000 0.000
Tm: 0.500 0.500 0.500
Cd: 0.250 0.250 0.250
Cd: 0.250 0.750 0.750
Cd: 0.750 0.250 0.750
Cd: 0.750 0.750 0.250
In: 0.250 0.250 0.750
In: 0.250 0.750 0.250
In: 0.750 0.250 0.250
In: 0.750 0.750 0.750

Summary:
The total energy comes out at -3.5646 eV/atom. Its density is 9.1 Mg/m³. Its crystal system is cubic.

=====

Record 2
# PmHoSb2

A relaxed PmHoSb2 crystal (PBE, Alexandria via LeMat-Bulk).

Cell: 7.662 7.662 7.662 Å, 90.00 90.00 90.00°
Fractional positions:
Pm: 0.000 0.000 0.000
Pm: 0.000 0.500 0.500
Pm: 0.500 0.000 0.500
Pm: 0.500 0.500 0.000
Ho: 0.000 0.000 0.500
Ho: 0.000 0.500 0.000
Ho: 0.500 0.000 0.000
Ho: 0.500 0.500 0.500
Sb: 0.250 0.250 0.250
Sb: 0.250 0.250 0.750
Sb: 0.250 0.750 0.250
Sb: 0.250 0.750 0.750
Sb: 0.750 0.250 0.250
Sb: 0.750 0.250 0.750
Sb: 0.750 0.750 0.250
Sb: 0.750 0.750 0.750

Summary:
The total energy comes out at -5.2163 eV/atom. Its density is 8.2 Mg/m³. For the relative energy among the computed polymorphs, the calculation gives 1.300 eV per formula unit. Its crystal system is cubic. As for the uncorrected formation energy: -0.823 eV per atom.

=====

Record 3
# LaSmYTh

A relaxed LaSmYTh crystal (PBE, Alexandria via LeMat-Bulk).

Cell: 3.621 3.621 10.328 Å, 90.00 90.00 90.00°
Fractional positions:
La: 0.000 0.000 0.000
Sm: 0.500 0.500 0.735
Y: 0.500 0.500 0.262
Th: 0.000 0.000 0.497

Summary:
The total energy comes out at -5.8577 eV/atom. Its density is 7.5 Mg/m³. For the relative energy among the computed polymorphs, the calculation gives 0.000 eV per formula unit. Its crystal system is tetragonal.

=====

Record 4
# KNiAg2Cl6

A relaxed KNiAg2Cl6 crystal (PBE, Alexandria via LeMat-Bulk).

Cell: 6.653 6.821 7.080 Å, 90.35 116.53 114.39°
Fractional positions:
K: 0.000 0.000 0.000
Ni: 0.966 0.490 0.454
Ag: 0.560 0.814 0.394
Ag: 0.570 0.278 0.845
Cl: 0.094 0.455 0.215
Cl: 0.140 0.293 0.664
Cl: 0.416 0.862 0.667
Cl: 0.571 0.148 0.216
Cl: 0.783 0.686 0.250
Cl: 0.832 0.548 0.682

Summary:
The total energy comes out at -3.0994 eV/atom. Its density is 3.4 Mg/m³. Its crystal system is triclinic. As for the uncorrected formation energy: -0.733 eV per atom.

=====

Record 5
# BaYMnSe4

A relaxed BaYMnSe4 crystal (PBE, Alexandria via LeMat-Bulk).

Cell: 6.902 6.536 8.953 Å, 90.00 107.79 90.00°
Fractional positions:
Ba: 0.249 0.250 0.441
Ba: 0.751 0.750 0.559
Y: 0.254 0.250 0.942
Y: 0.746 0.750 0.058
Mn: 0.264 0.750 0.175
Mn: 0.736 0.250 0.825
Se: 0.063 0.750 0.907
Se: 0.075 0.750 0.361
Se: 0.483 0.511 0.782
Se: 0.483 0.989 0.782
Se: 0.517 0.011 0.218
Se: 0.517 0.489 0.218
Se: 0.925 0.250 0.639
Se: 0.937 0.250 0.093

Summary:
The total energy comes out at -5.8755 eV/atom. Its density is 5.2 Mg/m³. Its crystal system is monoclinic. As for the uncorrected formation energy: -1.376 eV per atom.

=====

Record 6
# MgAlIrO6

A relaxed MgAlIrO6 crystal (PBE, Alexandria via LeMat-Bulk).

Cell: 4.982 4.982 8.951 Å, 90.00 90.00 120.00°
Fractional positions:
Mg: 0.000 0.000 0.000
Mg: 0.000 0.000 0.500
Al: 0.333 0.667 0.250
Al: 0.667 0.333 0.750
Ir: 0.333 0.667 0.750
Ir: 0.667 0.333 0.250
O: 0.004 0.353 0.136
O: 0.004 0.651 0.364
O: 0.349 0.353 0.364
O: 0.349 0.996 0.136
O: 0.353 0.004 0.636
O: 0.353 0.349 0.864
O: 0.647 0.651 0.136
O: 0.647 0.996 0.364
O: 0.651 0.004 0.864
O: 0.651 0.647 0.636
O: 0.996 0.349 0.636
O: 0.996 0.647 0.864

Summary:
The total energy comes out at -6.5325 eV/atom. Its density is 5.9 Mg/m³. Its crystal system is trigonal. As for the uncorrected formation energy: -1.649 eV per atom.